1.
Computed, not measured: crystalline Li4ErSi2 at its relaxed geometry at the PBE level of DFT.

Cell lengths 6.2733, 6.2733, 4.6816 Å; angles 90.00, 90.00, 133.74 degrees
With the nearest neighbours (Å) after each atom.
Element x y z (fractional)
Li 0.7231 0.2769 0.0000  3 Li 2.54-2.57, 2 Si 2.71
Li 0.5000 0.5000 0.0000  2 Er 2.46, 2 Li 2.57, 4 Si 2.64
Li 0.0000 0.0000 0.5000  2 Er 2.34
Li 0.2769 0.7231 0.0000  3 Li 2.54-2.57, 2 Si 2.71
Er 0.0000 0.0000 0.0000  4 Li 2.34-2.46
Si 0.6050 0.3950 0.5000  1 Si 2.42, 4 Li 2.64-2.71
Si 0.3950 0.6050 0.5000  1 Si 2.42, 4 Li 2.64-2.71

- total moment (μB per formula unit) = 0.4
- uncorrected energy (hartree per atom) = -0.1028
- space-group type = Cmmm, No. 65

***

2.
Computed, not measured: crystalline LiErSn at its relaxed geometry at the PBE level of DFT.

Cell lengths 4.6030, 4.6030, 4.6030 Å; angles 60.00, 60.00, 60.00 degrees
With the nearest neighbours (Å) after each atom.
Element x y z (fractional)
Li 0.2500 0.2500 0.2500  4 Er 2.82, 4 Sn 2.82
Er 0.5000 0.5000 0.5000  4 Li 2.82
Sn 0.0000 0.0000 0.0000  4 Li 2.82

- total moment (μB per formula unit) = 0.0
- uncorrected energy (hartree per atom) = -0.1440
- space-group type = F-43m, No. 216

***

3.
Computed, not measured: crystalline SrLiEr at its relaxed geometry at the PBE level of DFT.

Cell lengths 5.3868, 5.3868, 5.3868 Å; angles 60.00, 60.00, 60.00 degrees
With the nearest neighbours (Å) after each atom.
Element x y z (fractional)
Sr 0.0000 0.0000 0.0000  4 Li 3.30
Li 0.2500 0.2500 0.2500  4 Er 3.30, 4 Sr 3.30
Er 0.5000 0.5000 0.5000  4 Li 3.30

- total moment (μB per formula unit) = 0.3
- uncorrected energy (hartree per atom) = -0.0810
- space-group type = F-43m, No. 216
- relative energy among the computed polymorphs (eV per atom) = 0.0000

***

4.
Computed, not measured: crystalline SrLiErTe3 at its relaxed geometry at the PBE level of DFT.

Cell lengths 8.3934, 4.4048, 10.6175 Å; angles 90.00, 106.02, 90.00 degrees
With the nearest neighbours (Å) after each atom.
Element x y z (fractional)
Te 0.7383 0.2500 0.4582  3 Li 2.78-2.85, 1 Er 3.10
Te 0.0613 0.2500 0.8425  1 Li 2.74, 2 Er 3.03
Te 0.9387 0.7500 0.1575  1 Li 2.74, 2 Er 3.03
Te 0.5710 0.2500 0.8574  3 Er 3.07-3.08, 2 Sr 3.34
Te 0.2617 0.7500 0.5418  3 Li 2.78-2.85, 1 Er 3.10
Te 0.4290 0.7500 0.1426  3 Er 3.07-3.08, 2 Sr 3.34
Sr 0.2486 0.2500 0.2960  6 Te 3.34-3.42
Sr 0.7514 0.7500 0.7040  6 Te 3.34-3.42
Er 0.6905 0.2500 0.1584  6 Te 3.03-3.10
Er 0.3095 0.7500 0.8416  6 Te 3.03-3.10
Li 0.0840 0.2500 0.5898  4 Te 2.74-2.85, 2 Li 3.00
Li 0.9160 0.7500 0.4102  4 Te 2.74-2.85, 2 Li 3.00

- total moment (μB per formula unit) = 0.0
- uncorrected energy (hartree per atom) = -0.1590
- space-group type = P2_1/m, No. 11
- relative energy among the computed polymorphs (eV per atom) = 0.0166

***

5.
Computed, not measured: crystalline SrLiErTe3 at its relaxed geometry at the PBE level of DFT.

Cell lengths 14.7426, 4.4160, 11.5613 Å; angles 90.00, 90.00, 90.00 degrees
With the nearest neighbours (Å) after each atom.
Element x y z (fractional)
Te 0.6443 0.2500 0.7478  1 Li 2.77, 2 Er 3.06
Te 0.8557 0.7500 0.2478  1 Li 2.77, 2 Er 3.06
Te 0.3557 0.7500 0.2522  1 Li 2.77, 2 Er 3.06
Te 0.8958 0.7500 0.6152  3 Li 2.75-2.78, 1 Er 3.05
Te 0.8923 0.2500 0.9319  3 Er 3.06-3.08, 2 Sr 3.33
Te 0.1443 0.2500 0.7522  1 Li 2.77, 2 Er 3.06
Te 0.6042 0.2500 0.1152  3 Li 2.75-2.78, 1 Er 3.05
Te 0.1042 0.2500 0.3848  3 Li 2.75-2.78, 1 Er 3.05
Te 0.3958 0.7500 0.8848  3 Li 2.75-2.78, 1 Er 3.05
Te 0.3923 0.2500 0.5681  3 Er 3.06-3.08, 2 Sr 3.33
Te 0.6077 0.7500 0.4319  3 Er 3.06-3.08, 2 Sr 3.33
Te 0.1077 0.7500 0.0681  3 Er 3.06-3.08, 2 Sr 3.33
Sr 0.2240 0.7500 0.5432  6 Te 3.33-3.48, 1 Li 3.72
Sr 0.7760 0.2500 0.4568  6 Te 3.33-3.48, 1 Li 3.72
Sr 0.2760 0.2500 0.0432  6 Te 3.33-3.48, 1 Li 3.72
Sr 0.7240 0.7500 0.9568  6 Te 3.33-3.48, 1 Li 3.72
Li 0.9944 0.7500 0.4100  4 Te 2.75-2.78, 2 Li 3.04
Li 0.5056 0.2500 0.9100  4 Te 2.75-2.78, 2 Li 3.04
Li 0.4944 0.7500 0.0900  4 Te 2.75-2.78, 2 Li 3.04
Li 0.0056 0.2500 0.5900  4 Te 2.75-2.78, 2 Li 3.04
Er 0.5143 0.7500 0.6686  6 Te 3.05-3.08
Er 0.4857 0.2500 0.3314  6 Te 3.05-3.08
Er 0.9857 0.2500 0.1686  6 Te 3.05-3.08
Er 0.0143 0.7500 0.8314  6 Te 3.05-3.08

- total moment (μB per formula unit) = 0.0
- uncorrected energy (hartree per atom) = -0.1593
- space-group type = Pnma, No. 62
- relative energy among the computed polymorphs (eV per atom) = 0.0081

***

6.
Computed, not measured: crystalline SrLiErTe3 at its relaxed geometry at the PBE level of DFT.

Cell lengths 9.7680, 9.7680, 9.2628 Å; angles 103.64, 103.64, 26.05 degrees
With the nearest neighbours (Å) after each atom.
Element x y z (fractional)
Er 0.1661 0.1661 0.5871  6 Te 3.04-3.07
Er 0.8339 0.8339 0.4129  6 Te 3.04-3.07
Te 0.6681 0.6681 0.3573  3 Er 3.07, 1 Li 3.23, 2 Sr 3.42
Te 0.3222 0.3222 0.1813  2 Er 3.04, 1 Li 3.19
Te 0.5000 0.5000 0.0000  2 Li 2.81
Te 0.3319 0.3319 0.6427  3 Er 3.07, 1 Li 3.23, 2 Sr 3.42
Te 0.6778 0.6778 0.8187  2 Er 3.04, 1 Li 3.19
Te 0.0000 0.0000 0.5000  4 Li 2.86, 2 Er 3.07
Sr 0.1338 0.1338 0.0655  7 Te 3.31-3.49
Sr 0.8662 0.8662 0.9345  7 Te 3.31-3.49
Li 0.4941 0.4941 0.3006  3 Te 2.81-2.86
Li 0.5059 0.5059 0.6994  3 Te 2.81-2.86

- total moment (μB per formula unit) = 0.0
- uncorrected energy (hartree per atom) = -0.1595
- space-group type = C2/m, No. 12
- relative energy among the computed polymorphs (eV per atom) = 0.0035

***

7.
Computed, not measured: crystalline SrLiErTe3 at its relaxed geometry at the PBE level of DFT.

Cell lengths 7.6037, 7.6037, 11.3275 Å; angles 90.00, 90.00, 146.16 degrees
With the nearest neighbours (Å) after each atom.
Element x y z (fractional)
Te 0.6405 0.3595 0.9406  1 Li 2.73
Te 0.6405 0.3595 0.5594  1 Li 2.73
Te 0.0824 0.9176 0.2500  2 Li 2.72
Te 0.9176 0.0824 0.7500  2 Li 2.72
Te 0.3595 0.6405 0.0594  1 Li 2.73
Te 0.3595 0.6405 0.4406  1 Li 2.73
Li 0.4742 0.5258 0.2500  4 Te 2.72-2.73
Li 0.5258 0.4742 0.7500  4 Te 2.72-2.73
Sr 0.2456 0.7544 0.7500  6 Te 3.34-3.45
Sr 0.7544 0.2456 0.2500  6 Te 3.34-3.45
Er 0.0000 0.0000 0.0000  6 Te 3.07-3.09
Er 0.0000 0.0000 0.5000  6 Te 3.07-3.09

- total moment (μB per formula unit) = 0.0
- uncorrected energy (hartree per atom) = -0.1596
- space-group type = Cmcm, No. 63
- relative energy among the computed polymorphs (eV per atom) = 0.0000

***

8.
Computed, not measured: crystalline LiErTa at its relaxed geometry at the PBE level of DFT.

Cell lengths 4.7571, 4.7571, 4.7571 Å; angles 60.00, 60.00, 60.00 degrees
With the nearest neighbours (Å) after each atom.
Element x y z (fractional)
Ta 0.7500 0.7500 0.7500  4 Er 2.91
Er 0.0000 0.0000 0.0000  4 Ta 2.91, 4 Li 2.91
Li 0.2500 0.2500 0.2500  4 Er 2.91

- total moment (μB per formula unit) = 1.6
- uncorrected energy (hartree per atom) = -0.1669
- space-group type = F-43m, No. 216